Version P
Gd2AlSn: optimized geometry, PBE-GGA.

Geometry as CIF:
```
data_Gd2AlSn
_cell_length_a 3.404
_cell_length_b 3.404
_cell_length_c 8.832
_cell_angle_alpha 90.00
_cell_angle_beta 90.00
_cell_angle_gamma 90.00
_symmetry_space_group_name_H-M 'P 1'
_symmetry_Int_Tables_number 1
_symmetry_space_group_name_Hall 'P 1'
loop_
_atom_site_label
_atom_site_fract_x
_atom_site_fract_y
_atom_site_fract_z
Gd1 0.000 0.000 0.737
Gd2 0.000 0.000 0.263
Sn1 0.500 0.500 0.000
Al1 0.500 0.500 0.500
```

Values from the calculation:
M_tot = 14.581 μB/f.u.
volume = 25.59 Å³ per atom

Version Q
Gd2AlSn: optimized geometry, PBE-GGA.

Geometry as CIF:
```
data_Gd2AlSn
_cell_length_a 4.466
_cell_length_b 4.779
_cell_length_c 4.779
_cell_angle_alpha 90.00
_cell_angle_beta 90.00
_cell_angle_gamma 90.00
_symmetry_space_group_name_H-M 'P 1'
_symmetry_Int_Tables_number 1
_symmetry_space_group_name_Hall 'P 1'
loop_
_atom_site_label
_atom_site_fract_x
_atom_site_fract_y
_atom_site_fract_z
Gd1 0.000 0.000 0.500
Gd2 0.000 0.500 0.000
Sn1 0.500 0.500 0.500
Al1 0.500 0.000 0.000
```

Values from the calculation:
M_tot = 14.922 μB/f.u.
volume = 25.49 Å³ per atom

Version R
Gd2AlSn: optimized geometry, PBE-GGA.

Geometry as CIF:
```
data_Gd2AlSn
_cell_length_a 5.275
_cell_length_b 5.275
_cell_length_c 5.275
_cell_angle_alpha 60.00
_cell_angle_beta 60.00
_cell_angle_gamma 60.00
_symmetry_space_group_name_H-M 'P 1'
_symmetry_Int_Tables_number 1
_symmetry_space_group_name_Hall 'P 1'
loop_
_atom_site_label
_atom_site_fract_x
_atom_site_fract_y
_atom_site_fract_z
Gd1 0.250 0.250 0.250
Gd2 0.750 0.750 0.750
Sn1 0.000 0.000 0.000
Al1 0.500 0.500 0.500
```

Values from the calculation:
M_tot = 14.115 μB/f.u.
volume = 25.94 Å³ per atom

Version S
Gd2AlSn: optimized geometry, PBE-GGA.

Geometry as CIF:
```
data_Gd2AlSn
_cell_length_a 3.520
_cell_length_b 3.520
_cell_length_c 11.049
_cell_angle_alpha 80.84
_cell_angle_beta 80.84
_cell_angle_gamma 60.00
_symmetry_space_group_name_H-M 'P 1'
_symmetry_Int_Tables_number 1
_symmetry_space_group_name_Hall 'P 1'
loop_
_atom_site_label
_atom_site_fract_x
_atom_site_fract_y
_atom_site_fract_z
Gd1 0.097 0.097 0.709
Gd2 0.903 0.903 0.291
Sn1 0.000 0.000 0.000
Al1 0.500 0.500 0.500
```

Values from the calculation:
M_tot = 14.288 μB/f.u.
volume = 29.13 Å³ per atom

Energies relative to the most stable structure are version P 19; version Q 0; version R 63; version S 493, reported in meV per atom.

Version P
TbGdAl: optimized geometry, PBE-GGA.

Geometry as CIF:
```
data_TbGdAl
_cell_length_a 3.464
_cell_length_b 3.464
_cell_length_c 7.212
_cell_angle_alpha 103.90
_cell_angle_beta 103.90
_cell_angle_gamma 90.00
_symmetry_space_group_name_H-M 'P 1'
_symmetry_Int_Tables_number 1
_symmetry_space_group_name_Hall 'P 1'
loop_
_atom_site_label
_atom_site_fract_x
_atom_site_fract_y
_atom_site_fract_z
Gd1 0.019 0.019 0.038
Tb1 0.314 0.314 0.627
Al1 0.667 0.667 0.335
```

Values from the calculation:
M_tot = 7.169 μB/f.u.
volume = 27.13 Å³ per atom

Version Q
TbGdAl: optimized geometry, PBE-GGA.

Geometry as CIF:
```
data_TbGdAl
_cell_length_a 3.565
_cell_length_b 5.085
_cell_length_c 5.085
_cell_angle_alpha 120.00
_cell_angle_beta 90.00
_cell_angle_gamma 90.00
_symmetry_space_group_name_H-M 'P 1'
_symmetry_Int_Tables_number 1
_symmetry_space_group_name_Hall 'P 1'
loop_
_atom_site_label
_atom_site_fract_x
_atom_site_fract_y
_atom_site_fract_z
Gd1 0.955 0.000 0.000
Tb1 0.386 0.333 0.667
Al1 0.659 0.667 0.333
```

Values from the calculation:
M_tot = 7.210 μB/f.u.
volume = 26.61 Å³ per atom

Energies relative to the most stable structure are version P 0; version Q 90, reported in meV per atom.

Version P
GdTh2Al: optimized geometry, PBE-GGA.

Geometry as CIF:
```
data_GdTh2Al
_cell_length_a 3.385
_cell_length_b 3.385
_cell_length_c 12.006
_cell_angle_alpha 81.90
_cell_angle_beta 81.90
_cell_angle_gamma 60.00
_symmetry_space_group_name_H-M 'P 1'
_symmetry_Int_Tables_number 1
_symmetry_space_group_name_Hall 'P 1'
loop_
_atom_site_label
_atom_site_fract_x
_atom_site_fract_y
_atom_site_fract_z
Gd1 0.000 0.000 0.000
Al1 0.500 0.500 0.500
Th1 0.094 0.094 0.719
Th2 0.906 0.906 0.281
```

Values from the calculation:
M_tot = 7.762 μB/f.u.
volume = 29.39 Å³ per atom

Version Q
GdTh2Al: optimized geometry, PBE-GGA.

Geometry as CIF:
```
data_GdTh2Al
_cell_length_a 5.438
_cell_length_b 5.438
_cell_length_c 5.438
_cell_angle_alpha 60.00
_cell_angle_beta 60.00
_cell_angle_gamma 60.00
_symmetry_space_group_name_H-M 'P 1'
_symmetry_Int_Tables_number 1
_symmetry_space_group_name_Hall 'P 1'
loop_
_atom_site_label
_atom_site_fract_x
_atom_site_fract_y
_atom_site_fract_z
Gd1 0.000 0.000 0.000
Al1 0.500 0.500 0.500
Th1 0.250 0.250 0.250
Th2 0.750 0.750 0.750
```

Values from the calculation:
M_tot = 7.611 μB/f.u.
volume = 28.43 Å³ per atom

Energies relative to the most stable structure are version P 154; version Q 0, reported in meV per atom.

Version P
GdTh2Al: optimized geometry, PBE-GGA.

Geometry as CIF:
```
data_GdTh2Al
_cell_length_a 4.040
_cell_length_b 4.040
_cell_length_c 7.079
_cell_angle_alpha 90.00
_cell_angle_beta 90.00
_cell_angle_gamma 90.00
_symmetry_space_group_name_H-M 'P 1'
_symmetry_Int_Tables_number 1
_symmetry_space_group_name_Hall 'P 1'
loop_
_atom_site_label
_atom_site_fract_x
_atom_site_fract_y
_atom_site_fract_z
Gd1 0.500 0.500 0.500
Al1 0.500 0.500 0.000
Th1 0.000 0.000 0.781
Th2 0.000 0.000 0.219
```

Values from the calculation:
M_tot = 7.337 μB/f.u.
volume = 28.89 Å³ per atom

Version Q
GdTh2Al: optimized geometry, PBE-GGA.

Geometry as CIF:
```
data_GdTh2Al
_cell_length_a 4.867
_cell_length_b 4.820
_cell_length_c 4.820
_cell_angle_alpha 90.00
_cell_angle_beta 90.00
_cell_angle_gamma 90.00
_symmetry_space_group_name_H-M 'P 1'
_symmetry_Int_Tables_number 1
_symmetry_space_group_name_Hall 'P 1'
loop_
_atom_site_label
_atom_site_fract_x
_atom_site_fract_y
_atom_site_fract_z
Gd1 0.500 0.500 0.500
Al1 0.500 0.000 0.000
Th1 0.000 0.000 0.500
Th2 0.000 0.500 0.000
```

Values from the calculation:
M_tot = 7.184 μB/f.u.
volume = 28.27 Å³ per atom

Energies relative to the most stable structure are version P 81; version Q 0, reported in meV per atom.

Version P
Gd2ThAl: optimized geometry, PBE-GGA.

Geometry as CIF:
```
data_Gd2ThAl
_cell_length_a 3.440
_cell_length_b 3.440
_cell_length_c 11.709
_cell_angle_alpha 81.55
_cell_angle_beta 81.55
_cell_angle_gamma 60.00
_symmetry_space_group_name_H-M 'P 1'
_symmetry_Int_Tables_number 1
_symmetry_space_group_name_Hall 'P 1'
loop_
_atom_site_label
_atom_site_fract_x
_atom_site_fract_y
_atom_site_fract_z
Gd1 0.099 0.099 0.702
Gd2 0.901 0.901 0.298
Al1 0.500 0.500 0.500
Th1 0.000 0.000 0.000
```

Values from the calculation:
M_tot = 14.535 μB/f.u.
volume = 29.57 Å³ per atom

Version Q
Gd2ThAl: optimized geometry, PBE-GGA.

Geometry as CIF:
```
data_Gd2ThAl
_cell_length_a 3.554
_cell_length_b 3.554
_cell_length_c 8.866
_cell_angle_alpha 90.00
_cell_angle_beta 90.00
_cell_angle_gamma 90.00
_symmetry_space_group_name_H-M 'P 1'
_symmetry_Int_Tables_number 1
_symmetry_space_group_name_Hall 'P 1'
loop_
_atom_site_label
_atom_site_fract_x
_atom_site_fract_y
_atom_site_fract_z
Gd1 0.000 0.000 0.782
Gd2 0.000 0.000 0.218
Al1 0.500 0.500 0.000
Th1 0.500 0.500 0.500
```

Values from the calculation:
M_tot = 14.185 μB/f.u.
volume = 27.99 Å³ per atom

Version R
Gd2ThAl: optimized geometry, PBE-GGA.

Geometry as CIF:
```
data_Gd2ThAl
_cell_length_a 5.418
_cell_length_b 5.418
_cell_length_c 5.418
_cell_angle_alpha 60.00
_cell_angle_beta 60.00
_cell_angle_gamma 60.00
_symmetry_space_group_name_H-M 'P 1'
_symmetry_Int_Tables_number 1
_symmetry_space_group_name_Hall 'P 1'
loop_
_atom_site_label
_atom_site_fract_x
_atom_site_fract_y
_atom_site_fract_z
Gd1 0.250 0.250 0.250
Gd2 0.750 0.750 0.750
Al1 0.500 0.500 0.500
Th1 0.000 0.000 0.000
```

Values from the calculation:
M_tot = 15.860 μB/f.u.
volume = 28.11 Å³ per atom

Version S
Gd2ThAl: optimized geometry, PBE-GGA.

Geometry as CIF:
```
data_Gd2ThAl
_cell_length_a 4.851
_cell_length_b 4.794
_cell_length_c 4.794
_cell_angle_alpha 90.00
_cell_angle_beta 90.00
_cell_angle_gamma 90.00
_symmetry_space_group_name_H-M 'P 1'
_symmetry_Int_Tables_number 1
_symmetry_space_group_name_Hall 'P 1'
loop_
_atom_site_label
_atom_site_fract_x
_atom_site_fract_y
_atom_site_fract_z
Gd1 0.000 0.000 0.500
Gd2 0.000 0.500 0.000
Al1 0.500 0.500 0.500
Th1 0.500 0.000 0.000
```

Values from the calculation:
M_tot = 14.825 μB/f.u.
volume = 27.87 Å³ per atom

Energies relative to the most stable structure are version P 289; version Q 0; version R 222; version S 26, reported in meV per atom.